{
  "formula": "LiFeSb2",
  "functional": "GGA-PBE",
  "state": "relaxed",
  "mass_density_g_cm3": 6.31,
  "spacegroup": "C2/m (12)",
  "vol_a3_per_atom": 20.1,
  "formation_energy_uncorrected_ev_per_atom": -0.041,
  "polymorph_energy_mev_per_atom": 54,
  "n_ef_per_ev_atom": 0.92,
  "cell": [[7.866, 0.000, 0.000], [0.000, 3.344, 0.000], [-1.449, 0.000, 6.125]],
  "species": ["Li", "Li", "Fe", "Fe", "Sb", "Sb", "Sb", "Sb"],
  "frac_coords": [[0.000, 0.000, 0.000], [0.500, 0.500, 0.000], [0.000, 0.500, 0.500], [0.500, 0.000, 0.500], [0.236, 0.000, 0.710], [0.264, 0.500, 0.290], [0.736, 0.500, 0.710], [0.764, 0.000, 0.290]]
}